Entry from Alexandria via LeMat-Bulk: a relaxed La2Ho crystal (PBE).

abc: 3.682 6.299 18.020
angles: 90.00 90.00 90.00
Fractional positions:
La  0.750  0.922  0.837
La  0.250  0.078  0.163
La  0.250  0.578  0.337
La  0.750  0.422  0.663
La  0.750  0.078  0.339
La  0.250  0.922  0.661
La  0.250  0.422  0.839
La  0.750  0.578  0.161
Ho  0.750  0.750  0.500
Ho  0.250  0.250  0.500
Ho  0.250  0.750  0.000
Ho  0.750  0.250  0.000

Calculated values
energy above the lowest structure with this stoichiometry = 0.5 meV per atom
ΔE_f = 0.03 eV/atom
space-group type = Pnma (62)


Entry from Alexandria via LeMat-Bulk: a relaxed ScNi4Os crystal (PBE).

abc: 4.770 4.770 4.770
angles: 60.00 60.00 60.00
Each line ends with the local moment (μB).
Fractional positions:
Sc  0.000  0.000  0.000  -0.07
Ni  0.874  0.375  0.375  0.58
Ni  0.375  0.375  0.375  0.58
Ni  0.375  0.375  0.874  0.58
Ni  0.375  0.874  0.375  0.58
Os  0.750  0.750  0.750  0.99

Calculated values
ΔE_f = -0.14 eV/atom
space-group type = F-43m (216)


Entry from Alexandria via LeMat-Bulk: a relaxed CdCu2H8Ir crystal (PBE).

abc: 5.424 4.536 5.562
angles: 75.39 62.37 77.04
Fractional positions:
Cd  0.000  0.000  0.500
Cu  0.294  0.492  0.737
Cu  0.706  0.508  0.263
H  0.906  0.737  0.299
H  0.766  0.816  0.983
H  0.693  0.241  0.100
H  0.094  0.263  0.701
H  0.234  0.184  0.017
H  0.307  0.759  0.900
H  0.366  0.659  0.416
H  0.634  0.341  0.584
Ir  0.000  0.000  0.000

Calculated values
space-group type = P-1 (2)
VASP energy = -3.65 eV/atom


Entry from Alexandria via LeMat-Bulk: a relaxed TcHg crystal (PBE).

abc: 2.970 2.970 8.410
angles: 90.00 90.00 90.00
Fractional positions:
Hg  0.250  0.250  0.154
Hg  0.750  0.750  0.846
Tc  0.250  0.250  0.585
Tc  0.750  0.750  0.415

Calculated values
energy above the lowest structure with this stoichiometry = 1.5 meV per atom
ΔE_f = 0.24 eV/atom
space-group type = P4/nmm (129)


Entry from Alexandria via LeMat-Bulk: a relaxed YZrP2Cl crystal (PBE).

abc: 5.074 5.074 4.774
angles: 90.00 90.00 90.00
Fractional positions:
Y  0.500  0.500  0.500
P  0.000  0.500  0.000
P  0.500  0.000  0.000
Zr  0.000  0.000  0.000
Cl  0.000  0.000  0.500

Calculated values
energy above the lowest structure with this stoichiometry = 0.0 meV per atom
space-group type = P4/mmm (123)
raw formation energy = -672 meV per atom


Entry from Alexandria via LeMat-Bulk: a relaxed Nd5Dy2HoTh crystal (PBE).

abc: 5.420 11.208 10.597
angles: 90.00 90.00 103.99
Fractional positions:
Nd  0.374  0.749  0.008
Nd  0.722  0.444  0.815
Nd  0.500  0.000  0.758
Nd  0.278  0.556  0.701
Nd  0.002  0.004  0.508
Nd  0.626  0.251  0.508
Nd  0.278  0.556  0.315
Nd  0.500  0.000  0.258
Nd  0.722  0.444  0.201
Nd  0.998  0.996  0.008
Dy  0.887  0.774  0.755
Dy  0.113  0.226  0.762
Dy  0.113  0.226  0.255
Dy  0.887  0.774  0.262
Ho  0.602  0.204  0.008
Ho  0.398  0.796  0.508
Th  0.787  0.574  0.508
Th  0.213  0.426  0.008

Calculated values
ΔE_f = 0.14 eV/atom
space-group type = Cmcm (63)


Entry from Alexandria via LeMat-Bulk: a relaxed Cd4TeIr crystal (PBE).

abc: 5.672 5.672 5.672
angles: 60.00 60.00 60.00
Fractional positions:
Cd  0.873  0.376  0.376
Cd  0.376  0.376  0.873
Cd  0.376  0.873  0.376
Cd  0.376  0.376  0.376
Te  0.000  0.000  0.000
Ir  0.750  0.750  0.750

Calculated values
space-group type = F-43m (216)
raw formation energy = 476 meV per atom


Entry from Alexandria via LeMat-Bulk: a relaxed TmTa2NbC4 crystal (PBE).

abc: 3.217 5.911 11.566
angles: 90.00 90.00 105.79
Fractional positions:
Tm  0.142  0.283  0.750
Tm  0.858  0.717  0.250
Ta  0.368  0.737  0.527
Ta  0.632  0.263  0.027
Ta  0.632  0.263  0.473
Ta  0.368  0.737  0.973
Nb  0.870  0.740  0.750
Nb  0.130  0.260  0.250
C  0.252  0.504  0.113
C  0.748  0.496  0.613
C  0.748  0.496  0.887
C  0.252  0.504  0.387
C  0.000  0.000  0.500
C  0.000  0.000  0.000
C  0.482  0.963  0.750
C  0.518  0.037  0.250

Calculated values
ΔE_f = -0.27 eV/atom
space-group type = Cmcm (63)


Entry from Alexandria via LeMat-Bulk: a relaxed Tl17Sb12 crystal (PBE).

abc: 10.582 10.582 10.582
angles: 109.47 109.47 109.47
Fractional positions:
Sb  0.178  0.812  0.178
Sb  0.366  0.188  0.366
Sb  0.822  0.000  0.634
Sb  0.634  0.000  0.822
Sb  0.822  0.634  0.000
Sb  0.634  0.822  0.000
Sb  0.366  0.366  0.188
Sb  0.178  0.178  0.812
Sb  0.000  0.634  0.822
Sb  0.000  0.822  0.634
Sb  0.812  0.178  0.178
Sb  0.188  0.366  0.366
Tl  0.679  0.275  0.679
Tl  0.405  0.725  0.405
Tl  0.321  0.000  0.595
Tl  0.595  0.000  0.321
Tl  0.321  0.595  0.000
Tl  0.595  0.321  0.000
Tl  0.405  0.405  0.725
Tl  0.679  0.679  0.275
Tl  0.000  0.595  0.321
Tl  0.000  0.321  0.595
Tl  0.275  0.679  0.679
Tl  0.725  0.405  0.405
Tl  0.000  0.367  0.000
Tl  0.633  0.633  0.633
Tl  0.000  0.000  0.367
Tl  0.367  0.000  0.000
Tl  0.000  0.000  0.000

Calculated values
space-group type = I-43m (217)
raw formation energy = 44 meV per atom


Entry from Alexandria via LeMat-Bulk: a relaxed In2CuTc crystal (PBE).

abc: 7.229 7.229 5.863
angles: 51.94 51.94 90.00
Fractional positions:
Tc  0.000  0.000  0.000
Tc  0.750  0.250  0.500
Cu  0.500  0.500  0.000
Cu  0.250  0.750  0.500
In  0.603  0.125  0.250
In  0.147  0.625  0.250
In  0.375  0.397  0.750
In  0.875  0.853  0.750

Calculated values
energy above the lowest structure with this stoichiometry = 343.1 meV per atom
ΔE_f = 0.53 eV/atom
space-group type = I-42d (122)


Entry from Alexandria via LeMat-Bulk: a relaxed PHOsI2 crystal (PBE).

abc: 5.082 3.511 5.082
angles: 90.00 90.00 90.00
Fractional positions:
I  0.000  0.000  0.500
I  0.500  0.000  0.000
P  0.500  0.500  0.500
Os  0.000  0.500  0.000
H  0.000  0.000  0.000

Calculated values
space-group type = P4/mmm (123)
VASP energy = -3.30 eV/atom


Entry from Alexandria via LeMat-Bulk: a relaxed Zn2FeRh crystal (PBE).

abc: 3.610 2.812 6.033
angles: 62.30 90.00 90.00
Each line ends with the local moment (μB).
Fractional positions:
Fe  0.500  0.250  0.250  2.66
Rh  0.500  0.750  0.750  0.28
Zn  0.000  0.001  0.999  -0.03
Zn  0.000  0.499  0.501  -0.03

Calculated values
ΔE_f = -0.13 eV/atom
space-group type = P2/m (10)